Record 1
A plane-wave DFT calculation with PBE was carried out for ZnCrSe2 after structural relaxation.

Cell lengths 2.954, 2.954, 8.724 Å; angles 90.00, 90.00, 90.00 degrees
Sites, in units of the cell vectors:
Zn 0.000 0.000 0.000
Cr 0.500 0.500 0.202
Se 0.000 0.000 0.352
Se 0.500 0.500 0.746

Properties
Uncorrected formation energy ... 42 meV per atom
VASP energy ... -4.425 eV/atom


Record 2
A plane-wave DFT calculation with PBE was carried out for ZnCr2Se after structural relaxation.

Cell lengths 2.972, 2.972, 7.204 Å; angles 90.00, 90.00, 90.00 degrees
Sites, in units of the cell vectors:
Zn 0.000 0.000 0.000
Cr 0.000 0.000 0.388
Cr 0.500 0.500 0.215
Se 0.500 0.500 0.581

Properties
Uncorrected formation energy ... 136 meV per atom
VASP energy ... -5.865 eV/atom


| no. | V (Å³ per atom) |
| --- | --- |
| 1 | 19.0 |
| 2 | 15.9 |